MnAg4Cl | PBE-GGA | optimized geometry Values from VASP.

Summary:
The calculated density is 7.1 g/cm³. As for the formation energy from raw total energies: 29 kJ/mol of atoms.

Geometry as Quantum ESPRESSO input:
```
&SYSTEM
  ibrav = 0, nat = 6, ntyp = 3
/
ATOMIC_SPECIES
Ag 107.87 Ag.upf
Cl 35.45 Cl.upf
Mn 54.94 Mn.upf
ATOMIC_POSITIONS crystal
Ag 0.876 0.375 0.375
Ag 0.375 0.375 0.876
Cl 0.750 0.750 0.750
Mn 0.000 0.000 0.000
Ag 0.375 0.375 0.375
Ag 0.375 0.876 0.375
CELL_PARAMETERS angstrom
0.000 3.936 3.936
3.936 0.000 3.936
3.936 3.936 0.000
```



Ce2Zr2Se5 | PBE-GGA | optimized geometry Values from VASP.

Summary:
The calculated density is 6.0 g/cm³. As for the formation energy from raw total energies: -135 kJ/mol of atoms.

Geometry as Quantum ESPRESSO input:
```
&SYSTEM
  ibrav = 0, nat = 9, ntyp = 3
/
ATOMIC_SPECIES
Se 78.96 Se.upf
Zr 91.22 Zr.upf
Ce 140.12 Ce.upf
ATOMIC_POSITIONS crystal
Se 0.000 0.000 0.000
Se 0.148 0.296 0.526
Se 0.379 0.757 0.141
Zr 0.166 0.333 0.898
Se 0.621 0.243 0.859
Ce 0.385 0.770 0.725
Ce 0.615 0.230 0.275
Se 0.852 0.704 0.474
Zr 0.834 0.667 0.102
CELL_PARAMETERS angstrom
-1.234 2.076 4.585
-6.029 -0.579 -4.289
2.111 -6.248 3.398
```



NdGd2Co | PBE-GGA | optimized geometry Values from VASP.

Summary:
Its formation energy is -42.0 meV per atom. The calculated density is 8.0 g/cm³. As for the excess energy over the best structure of this formula in the dataset: 0.0000 eV/atom.

Geometry as Quantum ESPRESSO input:
```
&SYSTEM
  ibrav = 0, nat = 4, ntyp = 3
/
ATOMIC_SPECIES
Gd 157.25 Gd.upf
Co 58.93 Co.upf
Nd 144.24 Nd.upf
ATOMIC_POSITIONS crystal
Gd 0.000 0.000 0.820
Gd 0.000 0.000 0.180
Co 0.500 0.500 0.000
Nd 0.500 0.500 0.500
CELL_PARAMETERS angstrom
-1.538 -3.066 -0.310
2.975 -1.387 -1.044
2.110 -1.925 8.570
```



Be3Zn5 | PBE-GGA | optimized geometry Values from VASP.

Summary:
Its formation energy is 225.4 meV per atom. The calculated density is 5.8 g/cm³. As for the excess energy over the best structure of this formula in the dataset: 0.0695 eV/atom.

Geometry as Quantum ESPRESSO input:
```
&SYSTEM
  ibrav = 0, nat = 16, ntyp = 2
/
ATOMIC_SPECIES
Be 9.01 Be.upf
Zn 65.41 Zn.upf
ATOMIC_POSITIONS crystal
Be 0.589 0.005 0.250
Zn 0.663 0.337 0.500
Zn 0.337 0.663 0.500
Be 0.590 0.590 0.750
Zn 0.663 0.337 0.000
Be 0.995 0.411 0.750
Zn 0.770 0.997 0.750
Be 0.005 0.589 0.250
Zn 0.233 0.233 0.750
Zn 0.337 0.663 0.000
Zn 0.003 0.230 0.250
Be 0.410 0.410 0.250
Be 0.411 0.995 0.750
Zn 0.767 0.767 0.250
Zn 0.230 0.003 0.250
Zn 0.997 0.770 0.750
CELL_PARAMETERS angstrom
7.057 -0.175 0.000
-3.683 6.023 0.000
0.000 0.000 4.823
```



NdDyO | PBE-GGA | optimized geometry Values from VASP.

Summary:
The calculated density is 8.0 g/cm³. As for the formation energy from raw total energies: -168 kJ/mol of atoms.

Geometry as Quantum ESPRESSO input:
```
&SYSTEM
  ibrav = 0, nat = 3, ntyp = 3
/
ATOMIC_SPECIES
Nd 144.24 Nd.upf
Dy 162.50 Dy.upf
O 16.00 O.upf
ATOMIC_POSITIONS crystal
Nd 0.000 0.000 0.910
Dy 0.667 0.333 0.448
O 0.333 0.667 0.642
CELL_PARAMETERS angstrom
-1.628 -2.724 -1.672
3.360 -0.381 1.197
-2.097 -1.973 5.256
```



NaAcSnPb | PBE-GGA | optimized geometry Values from VASP.

Summary:
Its formation energy is -410.9 meV per atom. The calculated density is 7.6 g/cm³. As for the excess energy over the best structure of this formula in the dataset: 0.0000 eV/atom.

Geometry as Quantum ESPRESSO input:
```
&SYSTEM
  ibrav = 0, nat = 4, ntyp = 4
/
ATOMIC_SPECIES
Na 22.99 Na.upf
Ac 227.00 Ac.upf
Sn 118.71 Sn.upf
Pb 207.20 Pb.upf
ATOMIC_POSITIONS crystal
Na 0.500 0.000 0.500
Ac 0.500 0.500 0.000
Sn 0.000 0.000 0.000
Pb 0.000 0.500 0.500
CELL_PARAMETERS angstrom
4.871 0.000 0.000
0.000 5.016 0.000
0.000 0.000 5.117
```



ScTa2Cl | PBE-GGA | optimized geometry Values from VASP.

Summary:
The calculated density is 9.7 g/cm³. As for the excess energy over the best structure of this formula in the dataset: 0.9517 eV/atom. As for the formation energy from raw total energies: 73 kJ/mol of atoms.

Geometry as Quantum ESPRESSO input:
```
&SYSTEM
  ibrav = 0, nat = 4, ntyp = 3
/
ATOMIC_SPECIES
Ta 180.95 Ta.upf
Cl 35.45 Cl.upf
Sc 44.96 Sc.upf
ATOMIC_POSITIONS crystal
Ta 0.000 0.000 0.000
Ta 0.500 0.500 0.000
Cl 0.500 0.000 0.500
Sc 0.000 0.500 0.500
CELL_PARAMETERS angstrom
5.022 0.000 0.000
0.000 5.022 0.000
0.000 0.000 3.004
```



KRbNaRu2 | PBE-GGA | optimized geometry Values from VASP.

Summary:
Its formation energy is 1683.4 meV per atom. The calculated density is 3.7 g/cm³. As for the excess energy over the best structure of this formula in the dataset: 0.0000 eV/atom.

Geometry as Quantum ESPRESSO input:
```
&SYSTEM
  ibrav = 0, nat = 5, ntyp = 4
/
ATOMIC_SPECIES
Rb 85.47 Rb.upf
K 39.10 K.upf
Ru 101.07 Ru.upf
Na 22.99 Na.upf
ATOMIC_POSITIONS crystal
Rb 0.500 0.500 0.500
K 0.000 0.500 0.000
Ru 0.500 0.000 0.000
Na 0.000 0.000 0.000
Ru 0.000 0.000 0.500
CELL_PARAMETERS angstrom
-2.627 4.445 0.682
-4.879 -3.013 0.843
1.001 -0.192 5.107
```



KCd6Ge2 | PBE-GGA | optimized geometry Values from VASP.

Summary:
Its formation energy is -32.3 meV per atom. The calculated density is 6.7 g/cm³.

Geometry as Quantum ESPRESSO input:
```
&SYSTEM
  ibrav = 0, nat = 9, ntyp = 3
/
ATOMIC_SPECIES
Cd 112.41 Cd.upf
Ge 72.64 Ge.upf
K 39.10 K.upf
ATOMIC_POSITIONS crystal
Cd 0.000 0.000 0.500
Ge 0.500 0.500 0.128
Cd 0.500 0.000 0.287
Ge 0.500 0.500 0.872
Cd 0.000 0.500 0.287
Cd 0.500 0.500 0.500
K 0.000 0.000 0.000
Cd 0.000 0.500 0.713
Cd 0.500 0.000 0.713
CELL_PARAMETERS angstrom
-0.256 -0.264 4.596
-1.759 -4.248 -0.342
9.287 -3.870 0.294
```



KYSn | PBE-GGA | optimized geometry Values from VASP.

Summary:
Its formation energy is -40.4 meV per atom. The calculated density is 3.9 g/cm³. As for the excess energy over the best structure of this formula in the dataset: 0.3554 eV/atom.

Geometry as Quantum ESPRESSO input:
```
&SYSTEM
  ibrav = 0, nat = 3, ntyp = 3
/
ATOMIC_SPECIES
Sn 118.71 Sn.upf
Y 88.91 Y.upf
K 39.10 K.upf
ATOMIC_POSITIONS crystal
Sn 0.333 0.667 0.000
Y 0.000 0.000 0.000
K 0.667 0.333 0.500
CELL_PARAMETERS angstrom
4.771 -2.754 0.000
0.000 5.509 0.000
0.000 0.000 3.964
```



Q: The highest calculated density belongs to which entry?
A: ScTa2Cl



Q: Number 8 is which compound?
A: KRbNaRu2



Q: Among the records above, which one has the lowest calculated density?
A: KRbNaRu2